{"formula": "TiBeFeSi", "functional": "PBE", "state": "relaxed", "energy_ev_per_atom": -6.845, "total_magnetization_mub_per_fu": 0.00, "lattice_angstrom": [[5.643, 0.000, 0.000], [0.000, 5.643, 0.000], [0.000, 0.000, 5.643]], "species": ["Ti", "Ti", "Ti", "Ti", "Be", "Be", "Be", "Be", "Fe", "Fe", "Fe", "Fe", "Si", "Si", "Si", "Si"], "frac_coords": [[0.000, 0.000, 0.000], [0.000, 0.500, 0.500], [0.500, 0.000, 0.500], [0.500, 0.500, 0.000], [0.250, 0.250, 0.250], [0.250, 0.750, 0.750], [0.750, 0.250, 0.750], [0.750, 0.750, 0.250], [0.250, 0.250, 0.750], [0.250, 0.750, 0.250], [0.750, 0.250, 0.250], [0.750, 0.750, 0.750], [0.000, 0.000, 0.500], [0.000, 0.500, 0.000], [0.500, 0.000, 0.000], [0.500, 0.500, 0.500]]}